Entry w
Compound: TlHgGe2
Source: Alexandria via LeMat-Bulk
Functional: PBE-GGA
Structure: relaxed

M_tot in Bohr magnetons per cell: 0.0
Volume in Å³/cell: 203.9
Density of states at the Fermi level in states/eV per cell: 5.9
Space group: No. 122
Mass density in kg/m3: 8964

a b c (Å): 11.0130 11.0130 11.0130
angles (deg): 156.99 156.99 32.76
With the nearest neighbours (Å) after each atom.
Sites, in units of the cell vectors:
1 Tl 0.0000 0.0000 0.0000  4 Hg 3.11, 4 Ge 3.20
2 Tl 0.7500 0.2500 0.5000  4 Hg 3.11, 4 Ge 3.20
3 Hg 0.2500 0.7500 0.5000  4 Ge 2.96, 4 Tl 3.11
4 Hg 0.5000 0.5000 0.0000  4 Ge 2.96, 4 Tl 3.11
5 Ge 0.2011 0.6250 0.0761  2 Ge 2.68, 2 Hg 2.96
6 Ge 0.3750 0.4511 0.5761  2 Ge 2.68, 2 Hg 2.96
7 Ge 0.5489 0.1250 0.9239  2 Ge 2.68, 2 Hg 2.96
8 Ge 0.8750 0.7989 0.4239  2 Ge 2.68, 2 Hg 2.96

Entry x
Compound: TlHgGe2
Source: Alexandria via LeMat-Bulk
Functional: PBE-GGA
Structure: relaxed

M_tot in Bohr magnetons per cell: 0.0
Volume in Å³/cell: 94.8
Density of states at the Fermi level in states/eV per cell: 2.7
Space group: No. 225
Mass density in kg/m3: 9638

a b c (Å): 5.1182 5.1182 5.1182
angles (deg): 60.00 60.00 60.00
With the nearest neighbours (Å) after each atom.
Sites, in units of the cell vectors:
1 Tl 0.0000 0.0000 0.0000  8 Ge 3.13
2 Hg 0.5000 0.5000 0.5000  8 Ge 3.13
3 Ge 0.2500 0.2500 0.2500  4 Hg 3.13, 4 Tl 3.13
4 Ge 0.7500 0.7500 0.7500  4 Tl 3.13, 4 Hg 3.13

Stability order, top to bottom: entry w, entry x

Entry w
Compound: Tl2HgGe
Source: Alexandria via LeMat-Bulk
Functional: PBE-GGA
Structure: relaxed

M_tot in Bohr magnetons per cell: 0.0
Volume in Å³/cell: 241.6
Density of states at the Fermi level in states/eV per cell: 5.8
Space group: No. 122
Mass density in kg/m3: 9374

a b c (Å): 7.1320 7.1320 7.1320
angles (deg): 98.95 98.95 133.55
With the nearest neighbours (Å) after each atom.
Sites, in units of the cell vectors:
1 Tl 0.0509 0.6250 0.9259  2 Ge 2.92, 2 Tl 3.13
2 Tl 0.3750 0.3009 0.4259  2 Ge 2.92, 2 Tl 3.13
3 Tl 0.6991 0.1250 0.0741  2 Ge 2.92, 2 Tl 3.13
4 Tl 0.8750 0.9491 0.5741  2 Ge 2.92, 2 Tl 3.13
5 Hg 0.2500 0.7500 0.5000  2 Ge 2.81
6 Hg 0.5000 0.5000 0.0000  2 Ge 2.81
7 Ge 0.0000 0.0000 0.0000  2 Hg 2.81, 4 Tl 2.92
8 Ge 0.7500 0.2500 0.5000  2 Hg 2.81, 4 Tl 2.92

Entry x
Compound: Tl2HgGe
Source: Alexandria via LeMat-Bulk
Functional: PBE-GGA
Structure: relaxed

M_tot in Bohr magnetons per cell: 0.0
Volume in Å³/cell: 119.6
Density of states at the Fermi level in states/eV per cell: 2.0
Space group: No. 160
Mass density in kg/m3: 9471

a b c (Å): 7.4880 7.4880 7.4880
angles (deg): 34.41 34.41 34.41
With the nearest neighbours (Å) after each atom.
Sites, in units of the cell vectors:
1 Tl 0.0000 0.0000 0.0000  3 Ge 2.91
2 Tl 0.1942 0.1942 0.1942  3 Ge 2.99, 3 Hg 3.23
3 Hg 0.7671 0.7671 0.7671  6 Tl 3.23-3.32, 1 Ge 3.51
4 Ge 0.6007 0.6007 0.6007  6 Tl 2.91-2.99

Entry y
Compound: Tl2HgGe
Source: Alexandria via LeMat-Bulk
Functional: PBE-GGA
Structure: relaxed

M_tot in Bohr magnetons per cell: 0.0
Volume in Å³/cell: 107.1
Density of states at the Fermi level in states/eV per cell: 1.6
Space group: No. 123
Mass density in kg/m3: 10569

a b c (Å): 5.5566 5.5566 3.4702
angles (deg): 90.00 90.00 90.00
With the nearest neighbours (Å) after each atom.
Sites, in units of the cell vectors:
1 Tl 0.0000 0.5000 0.0000  4 Ge 3.28, 4 Hg 3.28, 2 Tl 3.47
2 Tl 0.5000 0.0000 0.0000  4 Ge 3.28, 4 Hg 3.28, 2 Tl 3.47
3 Hg 0.0000 0.0000 0.5000  8 Tl 3.28, 2 Hg 3.47
4 Ge 0.5000 0.5000 0.5000  8 Tl 3.28, 2 Ge 3.47

Stability order, top to bottom: entry y, entry x, entry w

Entry w
Compound: TmHgGe2
Source: Alexandria via LeMat-Bulk
Functional: PBE-GGA
Structure: relaxed

M_tot in Bohr magnetons per cell: 0.0
Volume in Å³/cell: 83.2
Density of states at the Fermi level in states/eV per cell: 1.8
Space group: No. 123
Mass density in kg/m3: 10273

a b c (Å): 4.4872 4.4872 4.1328
angles (deg): 90.00 90.00 90.00
With the nearest neighbours (Å) after each atom.
Sites, in units of the cell vectors:
1 Tm 0.0000 0.0000 0.0000  8 Ge 3.05, 4 Hg 3.17
2 Hg 0.5000 0.5000 0.0000  8 Ge 3.05, 4 Tm 3.17
3 Ge 0.0000 0.5000 0.5000  4 Hg 3.05, 4 Tm 3.05, 4 Ge 3.17
4 Ge 0.5000 0.0000 0.5000  4 Hg 3.05, 4 Tm 3.05, 4 Ge 3.17

Entry x
Compound: TmHgGe2
Source: Alexandria via LeMat-Bulk
Functional: PBE-GGA
Structure: relaxed

M_tot in Bohr magnetons per cell: 0.0
Volume in Å³/cell: 137.0
Density of states at the Fermi level in states/eV per cell: 3.4
Space group: No. 166
Mass density in kg/m3: 6240

a b c (Å): 7.5479 7.5479 7.5479
angles (deg): 36.62 36.62 36.62
With the nearest neighbours (Å) after each atom.
Sites, in units of the cell vectors:
1 Tm 0.0000 0.0000 0.0000  6 Ge 2.87
2 Hg 0.5000 0.5000 0.5000  2 Ge 2.65
3 Ge 0.3743 0.3743 0.3743  1 Hg 2.65, 3 Tm 2.87
4 Ge 0.6257 0.6257 0.6257  1 Hg 2.65, 3 Tm 2.87

Stability order, top to bottom: entry w, entry x

Entry w
Compound: UHgGe2
Source: Alexandria via LeMat-Bulk
Functional: PBE-GGA
Structure: relaxed

M_tot in Bohr magnetons per cell: 2.0
Volume in Å³/cell: 83.0
Density of states at the Fermi level in states/eV per cell: 6.4
Space group: No. 123
Mass density in kg/m3: 11684

a b c (Å): 4.5670 4.5670 3.9786
angles (deg): 90.00 90.00 90.00
With the nearest neighbours (Å) after each atom.
Sites, in units of the cell vectors:
1 U 0.0000 0.0000 0.0000  8 Ge 3.03, 4 Hg 3.23
2 Hg 0.5000 0.5000 0.0000  8 Ge 3.03, 4 U 3.23
3 Ge 0.0000 0.5000 0.5000  4 Hg 3.03, 4 U 3.03, 4 Ge 3.23
4 Ge 0.5000 0.0000 0.5000  4 Hg 3.03, 4 U 3.03, 4 Ge 3.23

Entry x
Compound: UHgGe2
Source: Alexandria via LeMat-Bulk
Functional: PBE-GGA
Structure: relaxed

M_tot in Bohr magnetons per cell: 0.0
Volume in Å³/cell: 128.5
Density of states at the Fermi level in states/eV per cell: 2.1
Space group: No. 166
Mass density in kg/m3: 7547

a b c (Å): 7.9898 7.9898 7.9898
angles (deg): 32.17 32.17 32.17
With the nearest neighbours (Å) after each atom.
Sites, in units of the cell vectors:
1 U 0.0000 0.0000 0.0000  6 Ge 2.82
2 Hg 0.5000 0.5000 0.5000  2 Ge 2.59
3 Ge 0.3861 0.3861 0.3861  1 Hg 2.59, 3 U 2.82
4 Ge 0.6139 0.6139 0.6139  1 Hg 2.59, 3 U 2.82

Stability order, top to bottom: entry w, entry x

Entry w
Compound: V2HgGe2
Source: Alexandria via LeMat-Bulk
Functional: PBE-GGA
Structure: relaxed

M_tot in Bohr magnetons per cell: 0.0
Volume in Å³/cell: 166.1
Density of states at the Fermi level in states/eV per cell: 7.6
Space group: No. 127
Mass density in kg/m3: 8955

a b c (Å): 7.7341 7.7341 2.7761
angles (deg): 90.00 90.00 90.00
With the nearest neighbours (Å) after each atom.
Sites, in units of the cell vectors:
1 V 0.1157 0.3843 0.0000  3 V 2.53-2.78, 6 Ge 2.66-2.70
2 V 0.3843 0.8843 0.0000  3 V 2.53-2.78, 6 Ge 2.66-2.70
3 V 0.6157 0.1157 0.0000  3 V 2.53-2.78, 6 Ge 2.66-2.70
4 V 0.8843 0.6157 0.0000  3 V 2.53-2.78, 6 Ge 2.66-2.70
5 Hg 0.0000 0.0000 0.5000  2 Hg 2.78, 4 Ge 2.86
6 Hg 0.5000 0.5000 0.5000  2 Hg 2.78, 4 Ge 2.86
7 Ge 0.1725 0.6725 0.5000  6 V 2.66-2.70, 2 Ge 2.78, 2 Hg 2.86
8 Ge 0.3275 0.1725 0.5000  6 V 2.66-2.70, 2 Ge 2.78, 2 Hg 2.86
9 Ge 0.6725 0.8275 0.5000  6 V 2.66-2.70, 2 Ge 2.78, 2 Hg 2.86
10 Ge 0.8275 0.3275 0.5000  6 V 2.66-2.70, 2 Ge 2.78, 2 Hg 2.86

Entry x
Compound: V2HgGe2
Source: Alexandria via LeMat-Bulk
Functional: PBE-GGA
Structure: relaxed

M_tot in Bohr magnetons per cell: 0.0
Volume in Å³/cell: 164.5
Density of states at the Fermi level in states/eV per cell: 5.5
Space group: No. 127
Mass density in kg/m3: 9038

a b c (Å): 7.1803 7.1803 3.1911
angles (deg): 90.00 90.00 90.00
With the nearest neighbours (Å) after each atom.
Sites, in units of the cell vectors:
1 V 0.1195 0.3805 0.0000  1 V 2.43, 6 Ge 2.65-2.66
2 V 0.3805 0.8805 0.0000  1 V 2.43, 6 Ge 2.65-2.66
3 V 0.6195 0.1195 0.0000  1 V 2.43, 6 Ge 2.65-2.66
4 V 0.8805 0.6195 0.0000  1 V 2.43, 6 Ge 2.65-2.66
5 Hg 0.0000 0.0000 0.0000  4 V 2.86, 8 Ge 3.11, 2 Hg 3.19
6 Hg 0.5000 0.5000 0.0000  4 V 2.86, 8 Ge 3.11, 2 Hg 3.19
7 Ge 0.1705 0.6705 0.5000  6 V 2.65-2.66
8 Ge 0.3295 0.1705 0.5000  6 V 2.65-2.66
9 Ge 0.6705 0.8295 0.5000  6 V 2.65-2.66
10 Ge 0.8295 0.3295 0.5000  6 V 2.65-2.66

Stability order, top to bottom: entry x, entry w

Entry w
Compound: VHg2Ge
Source: Alexandria via LeMat-Bulk
Functional: PBE-GGA
Structure: relaxed

M_tot in Bohr magnetons per cell: 3.2
Volume in Å³/cell: 81.7
Density of states at the Fermi level in states/eV per cell: 2.8
Space group: No. 225
Mass density in kg/m3: 10668

a b c (Å): 4.8702 4.8702 4.8702
angles (deg): 60.00 60.00 60.00
With the nearest neighbours (Å) after each atom.
Sites, in units of the cell vectors:
1 V 0.0000 0.0000 0.0000  8 Hg 2.98
2 Hg 0.2500 0.2500 0.2500  4 Ge 2.98, 4 V 2.98
3 Hg 0.7500 0.7500 0.7500  4 Ge 2.98, 4 V 2.98
4 Ge 0.5000 0.5000 0.5000  8 Hg 2.98

Entry x
Compound: VHg2Ge
Source: Alexandria via LeMat-Bulk
Functional: PBE-GGA
Structure: relaxed

M_tot in Bohr magnetons per cell: 4.4
Volume in Å³/cell: 169.1
Density of states at the Fermi level in states/eV per cell: 7.5
Space group: No. 122
Mass density in kg/m3: 10309

a b c (Å): 6.1833 6.1833 6.1833
angles (deg): 101.51 101.51 126.94
With the nearest neighbours (Å) after each atom.
Sites, in units of the cell vectors:
1 V 0.0000 0.0000 0.0000  2 Ge 2.76, 4 Hg 2.87
2 V 0.7500 0.2500 0.5000  2 Ge 2.76, 4 Hg 2.87
3 Hg 0.1281 0.6250 0.0031  2 Hg 2.76, 2 Ge 2.83, 2 V 2.87
4 Hg 0.3750 0.3781 0.5031  2 Hg 2.76, 2 Ge 2.83, 2 V 2.87
5 Hg 0.6219 0.1250 0.9969  2 Hg 2.76, 2 Ge 2.83, 2 V 2.87
6 Hg 0.8750 0.8719 0.4969  2 Hg 2.76, 2 Ge 2.83, 2 V 2.87
7 Ge 0.2500 0.7500 0.5000  2 V 2.76, 4 Hg 2.83
8 Ge 0.5000 0.5000 0.0000  2 V 2.76, 4 Hg 2.83

Stability order, top to bottom: entry w, entry x